Below is crystalline Pm3AgPd at its relaxed geometry, with properties calculated at the PBE level.

- Total moment: 0.00 μB per formula unit
- Total DFT energy (no corrections): -96.5 eV for the cell shown
- Energy relative to the lowest polymorph listed for this composition: 0.0000 eV/atom
- Energy of formation from the pure elements: -35.4 kJ/mol of atoms

```
data_Pm3AgPd
_cell_length_a 10.371
_cell_length_b 6.815
_cell_length_c 8.752
_cell_angle_alpha 90.00
_cell_angle_beta 116.04
_cell_angle_gamma 90.00
_space_group_name_H-M_alt 'C 1 2/m 1'
_space_group_IT_number 12
loop_
_space_group_symop_operation_xyz
'x,y,z'
'-x,-y,-z'
'-x,y,-z'
'x,-y,z'
'x+1/2,y+1/2,z'
'-x+1/2,-y+1/2,-z'
'-x+1/2,y+1/2,-z'
'x+1/2,-y+1/2,z'
loop_
_atom_site_label
_atom_site_fract_x
_atom_site_fract_y
_atom_site_fract_z
_atom_site_occupancy
Pm1 0.025 0.000 0.242 1
Pm2 0.189 0.500 0.869 1
Pm3 0.205 0.500 0.323 1
Ag1 0.000 0.293 0.500 1
Pd1 0.000 0.293 0.000 1
```

Below is crystalline RbFeH3 at its relaxed geometry, with properties calculated at the PBE level.

- Total moment: 3.79 μB per formula unit
- Total DFT energy (no corrections): -11.3 eV for the cell shown

```
data_RbFeH3
_cell_length_a 4.634
_cell_length_b 4.634
_cell_length_c 4.634
_cell_angle_alpha 90.00
_cell_angle_beta 90.00
_cell_angle_gamma 90.00
_space_group_name_H-M_alt 'P m -3 m'
_space_group_IT_number 221
_space_group_name_Hall '-P 4 2 3'
loop_
_atom_site_label
_atom_site_fract_x
_atom_site_fract_y
_atom_site_fract_z
_atom_site_occupancy
Rb1 0.000 0.000 0.000 1
Fe1 0.500 0.500 0.500 1
H1 0.000 0.000 0.500 1
```

Below is crystalline CuSnTe at its relaxed geometry, with properties calculated at the PBE level.

- Formation energy without anion corrections: -3.34 kJ per mole of atoms
- Total moment: 0.00 μB per formula unit
- Total DFT energy (no corrections): -22.7 eV for the cell shown

```
data_CuSnTe
_cell_length_a 4.182
_cell_length_b 6.462
_cell_length_c 6.600
_cell_angle_alpha 94.31
_cell_angle_beta 108.39
_cell_angle_gamma 108.73
_space_group_name_H-M_alt 'P 1'
_space_group_IT_number 1
loop_
_space_group_symop_operation_xyz
'x,y,z'
loop_
_atom_site_label
_atom_site_fract_x
_atom_site_fract_y
_atom_site_fract_z
_atom_site_occupancy
Cu1 0.000 0.000 0.000 1
Cu2 0.051 0.326 0.779 1
Sn1 0.047 0.639 0.450 1
Sn2 0.654 0.278 0.034 1
Te1 0.388 0.269 0.510 1
Te2 0.392 0.752 0.030 1
```

Below is crystalline SbO at its relaxed geometry, with properties calculated at the PBE level.

- Formation energy without anion corrections: -67.16 kJ per mole of atoms
- Total moment: 0.00 μB per formula unit
- Total DFT energy (no corrections): -41.9 eV for the cell shown

```
data_SbO
_cell_length_a 8.166
_cell_length_b 8.166
_cell_length_c 3.159
_cell_angle_alpha 90.00
_cell_angle_beta 90.00
_cell_angle_gamma 90.00
_space_group_name_H-M_alt 'P 42/m n m'
_space_group_IT_number 136
_space_group_name_Hall '-P 4n 2n'
loop_
_atom_site_label
_atom_site_fract_x
_atom_site_fract_y
_atom_site_fract_z
_atom_site_occupancy
Sb1 0.135 0.135 0.000 1
O1 0.115 0.885 0.000 1
```

Below is crystalline Cs5Rb5Li at its relaxed geometry, with properties calculated at the PBE level.

- Total moment: 0.00 μB per formula unit
- Total DFT energy (no corrections): -20.2 eV for the cell shown
- Energy of formation from the pure elements: 8.0 kJ/mol of atoms

```
data_Cs5Rb5Li
_cell_length_a 26.578
_cell_length_b 8.222
_cell_length_c 11.013
_cell_angle_alpha 90.00
_cell_angle_beta 114.45
_cell_angle_gamma 90.00
_space_group_name_H-M_alt 'C 1 2/m 1'
_space_group_IT_number 12
loop_
_space_group_symop_operation_xyz
'x,y,z'
'-x,-y,-z'
'-x,y,-z'
'x,-y,z'
'x+1/2,y+1/2,z'
'-x+1/2,-y+1/2,-z'
'-x+1/2,y+1/2,-z'
'x+1/2,-y+1/2,z'
loop_
_atom_site_label
_atom_site_fract_x
_atom_site_fract_y
_atom_site_fract_z
_atom_site_occupancy
Cs1 0.000 0.000 0.000 1
Cs2 0.143 0.500 0.140 1
Cs3 0.207 0.500 0.702 1
Rb1 0.000 0.500 0.500 1
Rb2 0.139 0.000 0.430 1
Rb3 0.141 0.000 0.849 1
Li1 0.000 0.000 0.500 1
```

Below is crystalline AsRuPb2 at its relaxed geometry, with properties calculated at the PBE level.

- Total moment: 0.00 μB per formula unit
- Total DFT energy (no corrections): -38.2 eV for the cell shown
- Energy of formation from the pure elements: 53.9 kJ/mol of atoms

```
data_AsRuPb2
_cell_length_a 4.676
_cell_length_b 4.676
_cell_length_c 8.044
_cell_angle_alpha 90.00
_cell_angle_beta 90.00
_cell_angle_gamma 90.00
_space_group_name_H-M_alt 'I -4 m 2'
_space_group_IT_number 119
_space_group_name_Hall 'I -4 -2'
loop_
_atom_site_label
_atom_site_fract_x
_atom_site_fract_y
_atom_site_fract_z
_atom_site_occupancy
As1 0.000 0.000 0.000 1
Ru1 0.000 0.500 0.250 1
Pb1 0.000 0.000 0.500 1
Pb2 0.000 0.500 0.750 1
```

Below is crystalline NaPuSi4 at its relaxed geometry, with properties calculated at the PBE level.

- Formation energy without anion corrections: -12.17 kJ per mole of atoms
- Total moment: 5.06 μB per formula unit
- Total DFT energy (no corrections): -152.4 eV for the cell shown

```
data_NaPuSi4
_cell_length_a 7.423
_cell_length_b 7.423
_cell_length_c 7.423
_cell_angle_alpha 90.00
_cell_angle_beta 90.00
_cell_angle_gamma 90.00
_space_group_name_H-M_alt 'F -4 3 m'
_space_group_IT_number 216
_space_group_name_Hall 'F -4 2 3'
loop_
_atom_site_label
_atom_site_fract_x
_atom_site_fract_y
_atom_site_fract_z
_atom_site_occupancy
Na1 0.000 0.000 0.000 1
Pu1 0.250 0.250 0.250 1
Si1 0.126 0.126 0.626 1
```

Below is crystalline Tl15Cd2Sn2 at its relaxed geometry, with properties calculated at the PBE level.

- Total moment: 0.00 μB per formula unit
- Total DFT energy (no corrections): -44.5 eV for the cell shown
- Energy of formation from the pure elements: 4.2 kJ/mol of atoms

```
data_Tl15Cd2Sn2
_cell_length_a 8.138
_cell_length_b 8.666
_cell_length_c 8.703
_cell_angle_alpha 100.93
_cell_angle_beta 99.05
_cell_angle_gamma 100.92
_space_group_name_H-M_alt 'P -1'
_space_group_IT_number 2
loop_
_space_group_symop_operation_xyz
'x,y,z'
'-x,-y,-z'
loop_
_atom_site_label
_atom_site_fract_x
_atom_site_fract_y
_atom_site_fract_z
_atom_site_occupancy
Tl1 0.000 0.000 0.000 1
Tl2 0.000 0.500 0.500 1
Tl3 0.042 0.118 0.387 1
Tl4 0.049 0.315 0.830 1
Tl5 0.227 0.722 0.882 1
Tl6 0.327 0.834 0.444 1
Tl7 0.375 0.413 0.606 1
Tl8 0.383 0.099 0.832 1
Tl9 0.500 0.500 0.000 1
Cd1 0.207 0.449 0.209 1
Sn1 0.396 0.178 0.235 1
```

Below is crystalline Na4Pa3RuN8 at its relaxed geometry, with properties calculated at the PBE level.

- Formation energy without anion corrections: -75.14 kJ per mole of atoms
- Total moment: 2.82 μB per formula unit
- Total DFT energy (no corrections): -366.3 eV for the cell shown

```
data_Na4Pa3RuN8
_cell_length_a 6.8923
_cell_length_b 6.8923
_cell_length_c 17.1240
_cell_angle_alpha 90.00
_cell_angle_beta 90.00
_cell_angle_gamma 120.00
_space_group_name_H-M_alt 'R -3 m'
_space_group_IT_number 166
_space_group_name_Hall '-R 3 2"'
loop_
_atom_site_label
_atom_site_fract_x
_atom_site_fract_y
_atom_site_fract_z
_atom_site_occupancy
Na1 0.0000 0.0000 0.0000 1
Na2 0.0000 0.5000 0.0000 1
Pa1 0.0000 0.5000 0.5000 1
Ru1 0.0000 0.0000 0.5000 1
N1 0.0000 0.0000 0.2303 1
N2 0.0124 0.5062 0.2293 1
```

Below is crystalline SnC3O at its relaxed geometry, with properties calculated at the PBE level.

- Formation energy without anion corrections: 269.66 kJ per mole of atoms
- Total moment: 0.00 μB per formula unit
- Total DFT energy (no corrections): -22.7 eV for the cell shown
- Energy relative to the lowest polymorph listed for this composition: 0.0000 eV/atom

```
data_SnC3O
_cell_length_a 3.768
_cell_length_b 3.768
_cell_length_c 3.768
_cell_angle_alpha 90.00
_cell_angle_beta 90.00
_cell_angle_gamma 90.00
_space_group_name_H-M_alt 'P m -3 m'
_space_group_IT_number 221
_space_group_name_Hall '-P 4 2 3'
loop_
_atom_site_label
_atom_site_fract_x
_atom_site_fract_y
_atom_site_fract_z
_atom_site_occupancy
Sn1 0.000 0.000 0.000 1
C1 0.000 0.500 0.500 1
O1 0.500 0.500 0.500 1
```